(1)
The following is a DFT calculation (PBE+U) of an optimized crystal structure of MgMn2InO4.

The value obtained for the density of states at the Fermi level is 2.10 states/eV/cell. The magnetic moment comes out at 19.5 μB/cell. The value obtained for the total energy is -6.503 eV/atom. The space group is No. 74.

a b c (Å): 6.485 6.485 6.520
angles (deg): 120.18 120.18 90.10
Each line ends with the local moment (μB).
Fractional positions:
Mg: 0.000 0.500 0.000  0.01
Mg: 0.000 0.500 0.500  0.01
Mn: 0.500 0.000 0.000  4.64
Mn: 0.500 0.000 0.500  4.64
Mn: 0.000 0.000 0.500  4.57
Mn: 0.500 0.500 0.000  4.57
In: 0.500 0.500 0.500  -0.05
In: 0.000 0.000 0.000  -0.05
O: 0.249 0.737 0.993  0.05
O: 0.763 0.251 0.507  0.05
O: 0.237 0.749 0.493  0.05
O: 0.751 0.263 0.007  0.05
O: 0.759 0.741 0.016  0.03
O: 0.759 0.741 0.484  0.03
O: 0.241 0.259 0.516  0.03
O: 0.241 0.259 0.984  0.03

=====

(2)
The following is a DFT calculation (PBE+U) of an optimized crystal structure of Mg2MnInO4.

The value obtained for the density of states at the Fermi level is 2.94 states/eV/cell. The magnetic moment comes out at 10.1 μB/cell. The value obtained for the total energy is -6.019 eV/atom. The space group is No. 74.

a b c (Å): 6.393 6.393 6.463
angles (deg): 120.37 120.37 89.93
Each line ends with the local moment (μB).
Fractional positions:
Mg: 0.500 0.000 0.000  0.01
Mg: 0.500 0.000 0.500  0.01
Mg: 0.000 0.000 0.500  0.00
Mg: 0.500 0.500 0.000  0.00
Mn: 0.000 0.500 0.000  4.63
Mn: 0.000 0.500 0.500  4.63
In: 0.500 0.500 0.500  0.00
In: 0.000 0.000 0.000  0.00
O: 0.269 0.749 0.009  0.06
O: 0.751 0.231 0.491  0.06
O: 0.249 0.769 0.509  0.06
O: 0.731 0.251 0.991  0.06
O: 0.743 0.757 0.026  0.03
O: 0.743 0.757 0.474  0.03
O: 0.257 0.243 0.526  0.03
O: 0.257 0.243 0.974  0.03